Here is a geometry-optimized ZrAlRh2 structure from Alexandria. Energies are from PBEsol.

Properties
energy relative to the elements	-3.570	eV per formula unit
total energy	-0.60687	Ry/atom
crystal system	orthorhombic

abc: 6.0233 6.4540 3.1445
angles: 90.00 90.00 90.00
Space group Cmmm (No. 65)
Unique sites:
Zr  0.0000  0.0000  0.0000 x2
Al  0.0000  0.5000  0.0000 x2
Rh  0.2500  0.2500  0.5000 x4